# AcPr6Y2Tm

A relaxed structure of AcPr6Y2Tm (PBE, Alexandria).

Cell and atoms, written as POSCAR:
```
AcPr6Y2Tm
1.0
4.8085 -7.7425 0.0000
4.8085 7.7425 0.0000
-0.8422 0.0000 9.6895
Ac Pr Y Tm
2 12 4 2
Direct
0.0331 0.9669 0.7500
0.9669 0.0331 0.2500
0.0008 0.4493 0.3147
0.1191 0.7604 0.0562
0.2396 0.8809 0.4438
0.2910 0.5195 0.8843
0.4493 0.0008 0.8147
0.4805 0.7090 0.6157
0.5195 0.2910 0.3843
0.5507 0.9992 0.1853
0.7090 0.4805 0.1157
0.7604 0.1191 0.5562
0.8809 0.2396 0.9438
0.9992 0.5507 0.6853
0.2097 0.3107 0.5508
0.3107 0.2097 0.0508
0.6893 0.7903 0.9492
0.7903 0.6893 0.4492
0.4140 0.5860 0.2500
0.5860 0.4140 0.7500
```

* magnetization: 0.00 μB/cell
* space-group type: C2/c
* energy: -4.900 eV per atom